No. 1
Here is a relaxed SbOs2W crystal from Alexandria. Energies are from GGA-PBE.

Values from the calculation:
SG ... P4mm (99)
Total DFT energy (no corrections) ... -9.3542 eV/atom
Total magnetization ... 0.00 μB per atom
Uncorrected formation energy ... 530 meV per atom

Structure (POSCAR):
```
SbOs2W
1.0
3.022 0.000 0.000
0.000 3.022 0.000
0.000 0.000 7.168
Sb Os W
1 2 1
Cartesian
0.000 0.000 0.000
0.000 0.000 3.636
1.511 1.511 5.452
1.511 1.511 2.005
```

---

No. 2
Here is a relaxed Sm2Tm2Ru3 crystal from Alexandria. Energies are from GGA-PBE.

Values from the calculation:
Calculated formation energy ... -0.27 eV/atom
SG ... C2/m (12)
Total DFT energy (no corrections) ... -6.8729 eV/atom
Total magnetization ... 0.00 μB per atom

Structure (POSCAR):
```
Sm2Tm2Ru3
1.0
8.344 0.000 0.000
0.000 4.825 0.000
-2.786 0.000 7.802
Sm Tm Ru
4 4 6
Cartesian
-0.005 0.000 2.904
1.391 2.412 4.898
4.167 2.412 2.904
5.563 0.000 4.898
-1.394 2.412 6.860
2.780 0.000 0.941
2.778 0.000 6.860
6.952 2.412 0.941
0.000 0.000 0.000
1.386 2.412 1.873
0.000 0.000 5.929
4.172 2.412 0.000
5.558 0.000 1.873
4.172 2.412 5.929
```

---

No. 3
Here is a relaxed TaGeS3 crystal from Alexandria. Energies are from GGA-PBE.

Values from the calculation:
SG ... Pm-3m (221)
Total DFT energy (no corrections) ... -5.9218 eV/atom
Total magnetization ... 0.00 μB per atom
Uncorrected formation energy ... -151 meV per atom
Energy relative to the lowest polymorph listed for this composition ... 0.5410 eV per atom

Structure (POSCAR):
```
TaGeS3
1.0
4.793 0.000 0.000
0.000 4.793 0.000
0.000 0.000 4.793
Ta Ge S
1 1 3
Cartesian
0.000 0.000 0.000
2.397 2.397 2.397
0.000 0.000 2.397
0.000 2.397 0.000
2.397 0.000 0.000
```

---

No. 4
Here is a relaxed PuZnRh crystal from Alexandria. Energies are from GGA-PBE.

Values from the calculation:
Calculated formation energy ... -0.32 eV/atom
SG ... P-6m2 (187)
Total DFT energy (no corrections) ... -7.9769 eV/atom
Total magnetization ... 1.79 μB per atom

Structure (POSCAR):
```
PuZnRh
1.0
4.539 0.000 0.000
-2.269 3.931 0.000
0.000 0.000 3.166
Pu Zn Rh
1 1 1
Cartesian
0.000 0.000 0.000
2.269 1.310 1.583
0.000 2.620 1.583
```

---

No. 5
Here is a relaxed TaV crystal from Alexandria. Energies are from GGA-PBE.

Values from the calculation:
Calculated formation energy ... 1.70 eV/atom
SG ... P6_3/mmc (194)
Total DFT energy (no corrections) ... -8.7824 eV/atom
Total magnetization ... 0.00 μB per atom
Energy relative to the lowest polymorph listed for this composition ... 1.6761 eV per atom

Structure (POSCAR):
```
TaV
1.0
4.426 0.000 0.000
-2.213 3.833 0.000
0.000 0.000 5.044
Ta V
2 2
Cartesian
0.000 2.555 1.261
2.213 1.278 3.783
0.000 2.555 3.783
2.213 1.278 1.261
```

---

No. 6
Here is a relaxed NdHo5N6 crystal from Alexandria. Energies are from GGA-PBE.

Values from the calculation:
SG ... C2/m (12)
Total DFT energy (no corrections) ... -8.1300 eV/atom
Total magnetization ... 0.00 μB per atom
Uncorrected formation energy ... -1663 meV per atom

Structure (POSCAR):
```
NdHo5N6
1.0
3.019 -5.230 0.000
3.019 5.230 0.000
-2.011 0.000 5.691
Nd Ho N
1 5 6
Cartesian
0.000 0.000 0.000
2.014 3.474 2.845
3.019 1.741 0.000
2.014 0.000 2.845
3.019 -1.741 0.000
2.014 -3.474 2.845
1.031 1.785 1.446
0.050 0.000 4.246
1.031 -1.785 1.446
2.996 1.785 4.245
3.977 0.000 1.445
2.996 -1.785 4.245
```

---

No. 7
Here is a relaxed SmPa2N3 crystal from Alexandria. Energies are from GGA-PBE.

Values from the calculation:
SG ... P6/mmm (191)
Total DFT energy (no corrections) ... -9.4914 eV/atom
Total magnetization ... 0.00 μB per atom
Uncorrected formation energy ... -1377 meV per atom
Energy relative to the lowest polymorph listed for this composition ... 0.2171 eV per atom

Structure (POSCAR):
```
SmPa2N3
1.0
5.884 0.000 0.000
-2.942 5.096 0.000
0.000 0.000 3.355
Sm Pa N
1 2 3
Cartesian
0.000 0.000 0.000
0.000 3.397 1.678
2.942 1.699 1.678
-1.471 2.548 0.000
2.942 0.000 0.000
1.471 2.548 0.000
```

---

No. 8
Here is a relaxed Na2InOs crystal from Alexandria. Energies are from GGA-PBE.

Values from the calculation:
Calculated formation energy ... 0.94 eV/atom
SG ... I-42d (122)
Total DFT energy (no corrections) ... -3.2105 eV/atom
Total magnetization ... 0.24 μB per atom

Structure (POSCAR):
```
Na2InOs
1.0
8.336 0.000 0.000
0.000 8.336 0.000
0.000 0.000 5.354
Na In Os
8 4 4
Cartesian
1.940 2.084 0.669
2.084 6.108 2.008
2.084 6.396 4.684
2.228 2.084 3.346
6.108 6.252 3.346
6.252 1.940 4.684
6.252 2.228 2.008
6.396 6.252 0.669
0.000 0.000 2.677
0.000 4.168 4.015
4.168 0.000 1.338
4.168 4.168 0.000
0.000 0.000 0.000
0.000 4.168 1.338
4.168 0.000 4.015
4.168 4.168 2.677
```